Record 1
A geometry-optimized BaLi2PS4 structure. Source: Alexandria via LeMat-Bulk, functional PBE.

For the formation energy (no corrections), the calculation gives -807 kJ/mol of formula units.

Cell: 6.223 6.223 6.223 Å, 115.60 115.60 97.81°
Fractional coordinates of all 8 atoms:
Ba 0.000 0.000 0.000
Li 0.250 0.750 0.500
Li 0.750 0.250 0.500
P 0.500 0.500 0.000
S 0.154 0.531 0.000
S 0.469 0.469 0.623
S 0.531 0.154 0.000
S 0.846 0.846 0.377

***

Record 2
A geometry-optimized Tb2PmIr3 structure. Source: Alexandria via LeMat-Bulk, functional PBE.

For the formation energy from the elements, the calculation gives -2.33 eV/f.u.

Cell: 6.939 6.939 6.939 Å, 145.38 131.19 61.22°
Fractional coordinates of all 6 atoms:
Tb 0.164 0.164 0.000
Tb 0.836 0.836 0.000
Pm 0.500 0.500 0.000
Ir 0.000 0.500 0.500
Ir 0.326 0.826 0.500
Ir 0.674 0.174 0.500

***

Record 3
A geometry-optimized AuSICl2 structure. Source: Alexandria via LeMat-Bulk, functional PBE.

For the formation energy (no corrections), the calculation gives 332 kJ/mol of formula units. The polymorph energy (0 for the lowest one) comes out at 354 meV/atom.

Cell: 5.403 5.403 5.150 Å, 90.00 90.00 90.00°
Fractional coordinates of all 5 atoms:
Au 0.000 0.000 0.000
S 0.500 0.500 0.000
I 0.500 0.500 0.500
Cl 0.000 0.500 0.500
Cl 0.500 0.000 0.500

***

Record 4
A geometry-optimized NiAg2Cl structure. Source: Alexandria via LeMat-Bulk, functional PBE.

For the formation energy (no corrections), the calculation gives 168 kJ/mol of formula units. The polymorph energy (0 for the lowest one) comes out at 388 meV/atom.

Cell: 4.793 4.793 3.066 Å, 90.00 90.00 90.00°
Fractional coordinates of all 4 atoms:
Ni 0.000 0.000 0.000
Ag 0.000 0.500 0.500
Ag 0.500 0.000 0.500
Cl 0.500 0.500 0.000

***

Record 5
A geometry-optimized NbTlI2 structure. Source: Alexandria via LeMat-Bulk, functional PBE.

For the formation energy (no corrections), the calculation gives 42 kJ/mol of formula units. The polymorph energy (0 for the lowest one) comes out at 0 meV/atom.

Cell: 7.750 7.750 7.750 Å, 98.50 98.50 134.79°
Fractional coordinates of all 8 atoms:
Nb 0.000 0.000 0.000
Nb 0.750 0.250 0.500
Tl 0.250 0.750 0.500
Tl 0.500 0.500 0.000
I 0.375 0.240 0.365
I 0.760 0.125 0.135
I 0.875 0.010 0.635
I 0.990 0.625 0.865

***

Record 6
A geometry-optimized AcHo2Ga structure. Source: Alexandria via LeMat-Bulk, functional PBE.

For the formation energy from the elements, the calculation gives 0.28 eV/f.u. The polymorph energy (0 for the lowest one) comes out at 313 meV/atom.

Cell: 5.462 5.462 5.462 Å, 60.00 60.00 60.00°
Fractional coordinates of all 4 atoms:
Ac 0.000 0.000 0.000
Ho 0.250 0.250 0.250
Ho 0.750 0.750 0.750
Ga 0.500 0.500 0.500

***

Record 7
A geometry-optimized Na2Be2RhO6 structure. Source: Alexandria via LeMat-Bulk, functional PBE.

For the formation energy (no corrections), the calculation gives -1509 kJ/mol of formula units.

Cell: 5.083 5.083 5.799 Å, 90.00 90.00 120.00°
Fractional coordinates of all 11 atoms:
Na 0.333 0.667 0.391
Na 0.667 0.333 0.609
Be 0.333 0.667 0.859
Be 0.667 0.333 0.141
Rh 0.000 0.000 0.000
O 0.062 0.344 0.808
O 0.283 0.938 0.808
O 0.344 0.283 0.192
O 0.656 0.717 0.808
O 0.717 0.062 0.192
O 0.938 0.656 0.192

***

Record 8
A geometry-optimized TlZn3Sb2 structure. Source: Alexandria via LeMat-Bulk, functional PBE.

For the formation energy (no corrections), the calculation gives 0 kJ/mol of formula units.

Cell: 4.207 8.872 9.229 Å, 106.19 103.10 103.47°
Fractional coordinates of all 12 atoms:
Tl 0.066 0.199 0.437
Tl 0.934 0.801 0.563
Zn 0.096 0.753 0.938
Zn 0.332 0.063 0.101
Zn 0.365 0.337 0.896
Zn 0.635 0.663 0.104
Zn 0.668 0.937 0.899
Zn 0.904 0.247 0.062
Sb 0.308 0.848 0.272
Sb 0.430 0.589 0.765
Sb 0.570 0.411 0.235
Sb 0.692 0.152 0.728

***

Record 9
A geometry-optimized Th2VWN6 structure. Source: Alexandria via LeMat-Bulk, functional PBE.

For the formation energy (no corrections), the calculation gives -1156 kJ/mol of formula units.

Cell: 5.552 5.602 9.631 Å, 90.00 125.17 90.00°
Fractional coordinates of all 20 atoms:
Th 0.248 0.041 0.250
Th 0.248 0.459 0.750
Th 0.752 0.541 0.250
Th 0.752 0.959 0.750
V 0.500 0.000 0.000
V 0.500 0.500 0.500
W 0.000 0.000 0.500
W 0.000 0.500 0.000
N 0.171 0.202 0.964
N 0.171 0.298 0.464
N 0.262 0.706 0.965
N 0.262 0.794 0.465
N 0.321 0.014 0.752
N 0.321 0.486 0.252
N 0.679 0.514 0.748
N 0.679 0.986 0.248
N 0.738 0.206 0.535
N 0.738 0.294 0.035
N 0.829 0.702 0.536
N 0.829 0.798 0.036

***

Record 10
A geometry-optimized CrIr2Au structure. Source: Alexandria via LeMat-Bulk, functional PBE.

For the formation energy from the elements, the calculation gives 0.73 eV/f.u. The polymorph energy (0 for the lowest one) comes out at 159 meV/atom.

Cell: 4.818 4.818 4.818 Å, 132.49 132.49 69.45°
Fractional coordinates of all 4 atoms:
Cr 0.000 0.000 0.000
Ir 0.250 0.750 0.500
Ir 0.500 0.500 0.000
Au 0.750 0.250 0.500

***

Record 11
A geometry-optimized SrHgPb2 structure. Source: Alexandria via LeMat-Bulk, functional PBE.

For the formation energy from the elements, the calculation gives -1.16 eV/f.u.

Cell: 4.067 4.067 7.617 Å, 90.00 90.00 90.00°
Fractional coordinates of all 4 atoms:
Sr 0.000 0.000 0.000
Hg 0.500 0.500 0.246
Pb 0.000 0.000 0.482
Pb 0.500 0.500 0.703

***

Record 12
A geometry-optimized Ho2Al5Ir3 structure. Source: Alexandria via LeMat-Bulk, functional PBE.

For the formation energy from the elements, the calculation gives -8.42 eV/f.u.

Cell: 12.555 12.555 6.798 Å, 90.00 90.00 160.48°
Fractional coordinates of all 20 atoms:
Ho 0.023 0.977 0.500
Ho 0.324 0.676 0.576
Ho 0.676 0.324 0.076
Ho 0.977 0.023 0.000
Al 0.099 0.901 0.877
Al 0.207 0.793 0.394
Al 0.213 0.787 0.788
Al 0.373 0.627 0.031
Al 0.445 0.555 0.669
Al 0.555 0.445 0.169
Al 0.627 0.373 0.531
Al 0.787 0.213 0.288
Al 0.793 0.207 0.894
Al 0.901 0.099 0.377
Ir 0.110 0.890 0.254
Ir 0.272 0.728 0.094
Ir 0.453 0.547 0.286
Ir 0.547 0.453 0.786
Ir 0.728 0.272 0.594
Ir 0.890 0.110 0.754